1.
Pr2InAu4: relaxed, PBE.

POSCAR file:
```
Pr2InAu4
1.0
4.471 0.000 1.397
2.017 3.990 1.397
-0.645 -0.396 9.918
Pr Au In
2 4 1
direct
0.752 0.752 0.743
0.248 0.248 0.257
0.860 0.860 0.421
0.140 0.140 0.579
0.634 0.634 0.097
0.366 0.366 0.903
0.000 0.000 0.000
```

## Properties
Formation energy ... -580 meV/atom
Crystal system ... trigonal
Symmetry ... No. 166
Calculated density ... 10.81 g cm⁻³


2.
YSbOs: relaxed, PBE.

POSCAR file:
```
YSbOs
1.0
-4.546 0.827 -0.112
1.656 -3.465 2.572
0.325 2.154 2.693
Os Sb Y
1 1 1
direct
0.000 0.000 0.167
0.667 0.333 0.167
0.333 0.667 0.667
```

## Properties
Crystal system ... hexagonal
Symmetry ... No. 187
E_form (uncorrected) ... -0.29 eV per atom
Calculated density ... 10.39 g cm⁻³